{"formula": "Cu2Se2O3", "functional": "PBE", "state": "optimized geometry", "cell": [[6.6621, -1.6387, 0.0000], [6.6621, 1.6387, 0.0000], [-0.8052, 0.0000, 4.1688]], "species": ["Cu", "Cu", "Se", "Se", "O", "O", "O"], "fractional_positions": [[0.1465, 0.1465, 0.3069], [0.8535, 0.8535, 0.6931], [0.4067, 0.4067, 0.1051], [0.5933, 0.5933, 0.8949], [0.0000, 0.0000, 0.5000], [0.3161, 0.3161, 0.3698], [0.6839, 0.6839, 0.6302]], "spacegroup": "C2/m, No. 12", "e_tot_ev_per_cell": -31.442, "raw_formation_energy_kj_per_mol_fu": -136}